1.
DFT (PBE) results for crystalline Sr3Se2I at its relaxed geometry.

Density of states at the Fermi level ... 0.169 states/eV/atom
Crystal system ... orthorhombic
Energy relative to the elements, uncorrected ... -924 kJ/mol of formula units
Uncorrected energy ... -46.29 eV per cell

a = 4.589 Å, b = 8.764 Å, c = 12.695 Å
α = 90.00°, β = 90.00°, γ = 105.18°
Fractional positions:
I: 0.349 0.698 0.250
I: 0.651 0.302 0.750
Se: 0.000 0.000 0.500
Se: 0.000 0.000 0.000
Se: 0.614 0.228 0.250
Se: 0.386 0.772 0.750
Sr: 0.371 0.743 0.981
Sr: 0.001 0.003 0.750
Sr: 0.371 0.743 0.519
Sr: 0.999 0.997 0.250
Sr: 0.629 0.257 0.481
Sr: 0.629 0.257 0.019

=====

2.
DFT (PBE) results for crystalline SrSeI3 at its relaxed geometry.

Density of states at the Fermi level ... 0.320 states/eV/atom
Crystal system ... cubic
Energy relative to the elements, uncorrected ... -238 kJ/mol of formula units
Relative energy among the computed polymorphs ... 0.000 eV per atom
Uncorrected energy ... -12.28 eV per cell

a = 5.871 Å, b = 5.871 Å, c = 5.871 Å
α = 90.00°, β = 90.00°, γ = 90.00°
Fractional positions:
I: 0.000 0.000 0.500
I: 0.000 0.500 0.000
I: 0.500 0.000 0.000
Sr: 0.500 0.500 0.500
Se: 0.000 0.000 0.000

=====

3.
DFT (PBE) results for crystalline Sr2SeI2 at its relaxed geometry.

Density of states at the Fermi level ... 0.000 states/eV/atom
Crystal system ... monoclinic
Energy relative to the elements, uncorrected ... -885 kJ/mol of formula units
Uncorrected energy ... -19.13 eV per cell

a = 4.614 Å, b = 4.614 Å, c = 11.462 Å
α = 90.49°, β = 90.00°, γ = 120.00°
Fractional positions:
I: 0.838 0.676 0.821
I: 0.162 0.324 0.179
Sr: 0.169 0.338 0.655
Sr: 0.831 0.662 0.345
Se: 0.500 0.000 0.500

=====

4.
DFT (PBE) results for crystalline SrSeI3 at its relaxed geometry.

Density of states at the Fermi level ... 1.855 states/eV/atom
Crystal system ... cubic
Energy relative to the elements, uncorrected ... -186 kJ/mol of formula units
Relative energy among the computed polymorphs ... 0.108 eV per atom
Uncorrected energy ... -11.74 eV per cell

a = 6.420 Å, b = 6.420 Å, c = 6.420 Å
α = 90.00°, β = 90.00°, γ = 90.00°
Last column: magnetic moment on the atom in μB.
Fractional positions:
I: 0.500 0.000 0.000  0.17
I: 0.000 0.000 0.500  0.19
I: 0.000 0.500 0.000  0.13
Sr: 0.000 0.000 0.000  0.00
Se: 0.500 0.500 0.500  1.34

=====

5.
DFT (PBE) results for crystalline Sr6Se5I at its relaxed geometry.

Density of states at the Fermi level ... 0.222 states/eV/atom
Crystal system ... monoclinic
Energy relative to the elements, uncorrected ... -2216 kJ/mol of formula units
Uncorrected energy ... -52.03 eV per cell

a = 7.771 Å, b = 7.785 Å, c = 7.775 Å
α = 59.96°, β = 80.37°, γ = 70.47°
Fractional positions:
Se: 0.000 0.667 0.665
Se: 0.500 0.840 0.321
Se: 0.000 0.333 0.335
Se: 0.500 0.160 0.679
Se: 0.500 0.500 0.000
Sr: 0.261 0.913 0.646
Sr: 0.741 0.734 0.000
Sr: 0.739 0.441 0.646
Sr: 0.739 0.087 0.354
Sr: 0.261 0.559 0.354
Sr: 0.259 0.266 0.000
I: 0.000 0.000 0.000

=====

6.
DFT (PBE) results for crystalline Sr3Se2I2 at its relaxed geometry.

Density of states at the Fermi level ... 0.000 states/eV/atom
Crystal system ... monoclinic
Energy relative to the elements, uncorrected ... -1193 kJ/mol of formula units
Relative energy among the computed polymorphs ... 0.102 eV per atom
Uncorrected energy ... -27.48 eV per cell

a = 4.813 Å, b = 8.190 Å, c = 8.750 Å
α = 116.08°, β = 105.96°, γ = 90.00°
Fractional positions:
Sr: 0.709 0.764 0.418
Sr: 0.291 0.236 0.582
Sr: 0.000 0.000 0.000
Se: 0.132 0.853 0.264
Se: 0.868 0.147 0.736
I: 0.638 0.297 0.275
I: 0.362 0.703 0.725